First-principles (PBE) data for a geometry-optimized CaCoBr2 structure, as listed in the Alexandria database.

Cell and atoms, written as CIF:
```
data_CaCoBr2
_chemical_formula_sum 'Ca1 Co1 Br2'
_cell_length_a 3.9256
_cell_length_b 3.9258
_cell_length_c 6.1757
_cell_angle_alpha 90.00
_cell_angle_beta 90.00
_cell_angle_gamma 90.00
_space_group_name_H-M_alt 'P 1'
_space_group_IT_number 1
loop_
_space_group_symop_operation_xyz
'x,y,z'
loop_
_atom_site_label
_atom_site_type_symbol
_atom_site_fract_x
_atom_site_fract_y
_atom_site_fract_z
Br1 Br 0.5000 0.5000 0.3531
Co1 Co 0.5000 0.5000 0.7362
Br2 Br 0.0000 0.0000 0.9288
Ca1 Ca 0.0000 0.0000 0.4818
```

Properties
Formation energy without anion corrections (eV per atom): -0.483
Energy (eV per atom): -3.5960
Relative energy among the computed polymorphs (eV/f.u.): 0.94
Crystal system: tetragonal